(1)
Compound: ReTe2Pt
Source: the Alexandria database
Functional: PBEsol
Structure: relaxed

Cell lengths 4.5782, 4.5782, 5.5479 Å; angles 101.01, 101.01, 42.43 degrees
Fractional coordinates of all 4 atoms:
Re: 0.0000 0.0000 0.0000
Te: 0.2659 0.2659 0.7613
Te: 0.7341 0.7341 0.2387
Pt: 0.5000 0.5000 0.5000

Calculated values
The excess energy over the best structure of this formula in the dataset is 190 meV per atom. As for the symmetry: C2/m (12). The calculation puts the final energy at -6.35 eV/atom. The calculation puts the uncorrected formation energy at 0.4902 eV/atom.


(2)
Compound: Ti2RePt
Source: the Alexandria database
Functional: PBEsol
Structure: relaxed

Cell lengths 3.1405, 3.1405, 6.0490 Å; angles 90.00, 90.00, 90.00 degrees
Fractional coordinates of all 4 atoms:
Ti: 0.0000 0.0000 0.2420
Ti: 0.0000 0.0000 0.7580
Re: 0.5000 0.5000 0.0000
Pt: 0.5000 0.5000 0.5000

Calculated values
As for the formation energy: -0.7340 eV/atom. The excess energy over the best structure of this formula in the dataset is 0 meV per atom. As for the symmetry: P4/mmm (123). The calculation puts the final energy at -9.97 eV/atom.


(3)
Compound: Ti2RePt
Source: the Alexandria database
Functional: PBEsol
Structure: relaxed

Cell lengths 4.3779, 4.3779, 4.3779 Å; angles 60.00, 60.00, 60.00 degrees
Fractional coordinates of all 4 atoms:
Ti: 0.2500 0.2500 0.2500
Ti: 0.7500 0.7500 0.7500
Re: 0.0000 0.0000 0.0000
Pt: 0.5000 0.5000 0.5000

Calculated values
As for the formation energy: -0.6695 eV/atom. The excess energy over the best structure of this formula in the dataset is 64 meV per atom. As for the symmetry: Fm-3m (225). The calculation puts the final energy at -9.90 eV/atom.